# 1
A geometry-optimized Sr4GaP4 structure, computed with PBE.

Results
Space-group type: No. 137
Formation energy from the elements (eV/atom): -0.93
Raw total energy (eV per atom): -4.423

Geometry as extended XYZ:
```
18
Lattice="-5.936 -2.094 -1.263 2.870 -3.621 -7.483 1.728 -7.484 4.284" Properties=species:S:1:pos:R:3 pbc="T T T"
Sr 0.255 -3.304 -5.872
Sr -2.053 -9.255 -1.477
Sr 0.045 -10.543 -5.215
P 0.949 -7.899 -0.983
Ga -0.669 -6.599 -2.231
P -2.511 -4.450 -6.757
P -2.327 -9.983 1.551
P 0.150 -4.440 -2.961
P 2.979 -9.805 -4.447
Sr 0.649 -9.104 1.887
Sr -3.627 -3.447 0.276
P -2.551 -6.193 -0.761
Sr 0.409 -4.979 0.166
P -0.819 -2.159 0.730
Sr -2.979 -5.246 -3.770
Sr 1.945 -6.917 -3.842
P -1.225 -7.865 -4.219
Ga 0.000 0.000 0.000
```

---

# 2
A geometry-optimized NbReP2Cl structure, computed with PBE.

Results
Polymorph energy (0 for the lowest one) (meV per atom): 0
Formation energy (no corrections) (eV per formula unit): 4.31
Space-group type: No. 123
Raw total energy (eV per atom): -6.174

Geometry as extended XYZ:
```
5
Lattice="-0.109 -4.488 0.747 3.796 0.322 2.490 -2.773 0.755 4.130" Properties=species:S:1:pos:R:3 pbc="T T T"
Cl -1.386 0.377 2.065
Re 0.000 0.000 0.000
Nb 0.457 -1.706 3.684
P 1.898 0.161 1.245
P -0.055 -2.244 0.374
```

---

# 3
A geometry-optimized UZnN structure, computed with PBE.

Results
Formation energy (no corrections) (eV per formula unit): -2.10
Space-group type: No. 63
Raw total energy (eV per atom): -7.664

Geometry as extended XYZ:
```
6
Lattice="3.875 0.000 0.000 0.000 4.070 0.000 -1.937 0.000 6.522" Properties=species:S:1:pos:R:3 pbc="T T T"
U 1.937 1.018 4.332
Zn 1.937 1.018 0.649
N 1.937 3.053 3.296
U 0.000 3.053 2.191
Zn 0.000 3.053 5.873
N 0.000 1.018 3.226
```

---

# 4
A geometry-optimized SiTe2Cl structure, computed with PBE.

Results
Polymorph energy (0 for the lowest one) (meV per atom): 478
Formation energy (no corrections) (eV per formula unit): 1.57
Space-group type: No. 65
Raw total energy (eV per atom): -2.996

Geometry as extended XYZ:
```
4
Lattice="6.223 -0.022 0.000 -3.454 5.177 0.000 0.000 0.000 3.140" Properties=species:S:1:pos:R:3 pbc="T T T"
Si -1.727 2.588 1.570
Te 0.000 0.000 0.000
Te 1.385 2.577 0.000
Cl 3.112 -0.011 1.570
```

---

# 5
A geometry-optimized Y2CrP structure, computed with PBE.

Results
Space-group type: No. 164
Formation energy from the elements (eV/atom): -0.38
Raw total energy (eV per atom): -7.369

Geometry as extended XYZ:
```
4
Lattice="4.761 0.000 0.000 -2.380 4.123 0.000 0.000 0.000 4.463" Properties=species:S:1:pos:R:3 pbc="T T T"
Cr 0.000 0.000 2.231
P 0.000 0.000 0.000
Y 2.380 1.374 1.050
Y 0.000 2.749 3.413
```

---

# 6
A geometry-optimized TbEr2Tl2 structure, computed with PBE.

Results
Polymorph energy (0 for the lowest one) (meV per atom): 4
Space-group type: No. 11
Formation energy from the elements (eV/atom): -0.27
Raw total energy (eV per atom): -3.969

Geometry as extended XYZ:
```
10
Lattice="3.720 0.000 -0.499 0.000 5.366 0.000 -0.015 0.000 14.044" Properties=species:S:1:pos:R:3 pbc="T T T"
Tl 2.391 4.025 3.751
Tb 0.547 1.342 4.124
Tb 3.158 4.025 9.420
Tl 1.313 1.342 9.794
Er 0.878 4.025 6.564
Tl 2.040 1.342 1.079
Tl 1.665 4.025 12.465
Er 0.182 4.025 1.365
Er 2.826 1.342 6.980
Er 3.522 1.342 12.180
```

---

# 7
A geometry-optimized LiCuRh2 structure, computed with PBE.

Results
Space-group type: No. 123
Formation energy from the elements (eV/atom): 0.09
Raw total energy (eV per atom): -5.089

Geometry as extended XYZ:
```
4
Lattice="-1.409 -2.596 -0.470 2.021 -1.405 1.699 -3.262 0.928 4.649" Properties=species:S:1:pos:R:3 pbc="T T T"
Rh -1.656 0.471 2.360
Cu -0.509 -1.768 1.776
Rh -3.237 0.921 4.613
Li -2.140 -1.304 4.101
```

---

# 8
A geometry-optimized TlAs2I2 structure, computed with PBE.

Results
Polymorph energy (0 for the lowest one) (meV per atom): 0
Formation energy (no corrections) (eV per formula unit): 0.54
Space-group type: No. 139
Raw total energy (eV per atom): -2.845

Geometry as extended XYZ:
```
5
Lattice="3.963 0.000 0.000 0.000 3.963 0.000 1.981 1.981 9.820" Properties=species:S:1:pos:R:3 pbc="T T T"
I 3.963 3.963 7.665
I 1.981 1.981 2.155
As 1.981 3.963 4.910
Tl 0.000 0.000 0.000
As 3.963 1.981 4.910
```